{
  "formula": "Sm4Se3N",
  "functional": "PBE",
  "state": "optimized geometry",
  "lattice": [[5.7556, 0.0000, 0.0000], [0.0000, 7.7838, 0.0000], [0.0000, 0.0000, 9.9135]],
  "species": ["Sm", "Sm", "Sm", "Sm", "Sm", "Sm", "Sm", "Sm", "Se", "Se", "Se", "Se", "Se", "Se", "N", "N"],
  "fractional_positions": [[0.0706, 0.8566, 0.0000], [0.5857, 0.1433, 0.0000], [0.0646, 0.2654, 0.2139], [0.5646, 0.7346, 0.2861], [0.0857, 0.8567, 0.5000], [0.5706, 0.1434, 0.5000], [0.5646, 0.7346, 0.7139], [0.0646, 0.2654, 0.7861], [0.5755, 0.7741, 0.0000], [0.0673, 0.6524, 0.2571], [0.5673, 0.3476, 0.2429], [0.0755, 0.2259, 0.5000], [0.5673, 0.3476, 0.7571], [0.0673, 0.6524, 0.7429], [0.0195, 0.1533, 0.0000], [0.5195, 0.8467, 0.5000]],
  "de_polymorph_ev_per_atom": 0.168,
  "vol_a3_per_atom": 27.76,
  "final_energy_ev_per_cell": -99.65
}

***

{
  "formula": "Sm4Se3N",
  "functional": "PBE",
  "state": "optimized geometry",
  "lattice": [[3.9586, 0.0000, 0.0000], [0.0000, 6.7027, -2.2383], [0.0000, -0.0109, 7.0666]],
  "species": ["Se", "Se", "Se", "Sm", "Sm", "Sm", "Sm", "N"],
  "fractional_positions": [[0.0000, 0.0000, 0.5000], [0.5000, 0.5000, 0.5000], [0.0000, 0.5000, 0.0000], [0.0000, 0.2103, 0.2103], [0.5000, 0.7792, 0.2208], [0.0000, 0.7897, 0.7897], [0.5000, 0.2208, 0.7792], [0.5000, 0.0000, 0.0000]],
  "de_polymorph_ev_per_atom": 0.000,
  "vol_a3_per_atom": 23.43,
  "final_energy_ev_per_cell": -51.17
}

***

{
  "formula": "Sm8Te4Se3N",
  "functional": "PBE",
  "state": "optimized geometry",
  "lattice": [[8.4093, 0.0000, 0.0000], [0.0000, 8.5981, 0.1280], [-4.2046, -4.2010, 5.9490]],
  "species": ["Sm", "Sm", "Sm", "Sm", "Sm", "Sm", "Sm", "Sm", "Te", "Te", "Te", "Te", "Se", "Se", "Se", "N"],
  "fractional_positions": [[0.2152, 0.7019, 0.9867], [0.2153, 0.7020, 0.4306], [0.2596, 0.2790, 0.5193], [0.7716, 0.7019, 0.9867], [0.2284, 0.2981, 0.0133], [0.7404, 0.7210, 0.4807], [0.7847, 0.2980, 0.5694], [0.7848, 0.2981, 0.0133], [0.5000, 0.0000, 0.0000], [0.5000, 0.0000, 0.5000], [0.0000, 0.0000, 0.0000], [0.0000, 0.0000, 0.5000], [0.5000, 0.5000, 0.0000], [0.5000, 0.5000, 0.5000], [0.0000, 0.5000, 0.5000], [0.0000, 0.5000, 0.0000]],
  "vol_a3_per_atom": 27.17,
  "final_energy_ev_per_cell": -93.73
}

***

{
  "formula": "SmThSe2N",
  "functional": "PBE",
  "state": "optimized geometry",
  "lattice": [[4.1008, 0.0000, 0.0000], [0.0000, 4.1008, 0.0000], [0.0000, 0.0000, 14.8860]],
  "species": ["Sm", "Sm", "Th", "Th", "Se", "Se", "Se", "Se", "N", "N"],
  "fractional_positions": [[0.5000, 0.0000, 0.1247], [0.0000, 0.5000, 0.8753], [0.5000, 0.0000, 0.5782], [0.0000, 0.5000, 0.4218], [0.0000, 0.5000, 0.6932], [0.0000, 0.5000, 0.0900], [0.5000, 0.0000, 0.9100], [0.5000, 0.0000, 0.3068], [0.0000, 0.0000, 0.5000], [0.5000, 0.5000, 0.5000]],
  "vol_a3_per_atom": 25.03,
  "final_energy_ev_per_cell": -73.36
}

***

{
  "formula": "Sm8Tl3Se3N",
  "functional": "PBE",
  "state": "optimized geometry",
  "lattice": [[-4.9587, 6.2347, -1.3505], [3.6396, -3.6838, -6.2063], [-6.8256, -4.5672, 3.9795]],
  "species": ["Sm", "Sm", "Sm", "Sm", "Sm", "Sm", "Sm", "Sm", "Tl", "Tl", "Tl", "Se", "Se", "Se", "N"],
  "fractional_positions": [[0.2598, 0.5197, 0.2799], [0.7402, 0.4803, 0.7201], [0.7910, 0.5819, 0.3083], [0.2090, 0.4181, 0.6917], [0.7909, 0.0170, 0.3080], [0.2091, 0.9830, 0.6920], [0.2259, 0.0169, 0.3080], [0.7741, 0.9831, 0.6920], [0.0000, 0.0000, 0.0000], [0.0000, 0.5000, 0.0000], [0.5000, 0.5000, 0.0000], [0.5000, 0.0000, 0.5000], [0.5000, 0.5000, 0.5000], [0.0000, 0.5000, 0.5000], [0.0000, 0.0000, 0.5000]],
  "vol_a3_per_atom": 29.56,
  "final_energy_ev_per_cell": -78.50
}

***

{
  "formula": "SmUSe2N",
  "functional": "PBE",
  "state": "optimized geometry",
  "lattice": [[-0.4079, 2.0630, 3.3382], [-3.6762, 0.9733, -1.0507], [-5.1690, -12.1199, 6.8584]],
  "species": ["Sm", "Sm", "U", "U", "Se", "Se", "Se", "Se", "N", "N"],
  "fractional_positions": [[0.5000, 0.0000, 0.1283], [0.0000, 0.5000, 0.8717], [0.5000, 0.0000, 0.5762], [0.0000, 0.5000, 0.4238], [0.0000, 0.5000, 0.6826], [0.0000, 0.5000, 0.0865], [0.5000, 0.0000, 0.9135], [0.5000, 0.0000, 0.3174], [0.0000, 0.0000, 0.5000], [0.5000, 0.5000, 0.5000]],
  "vol_a3_per_atom": 23.12,
  "final_energy_ev_per_cell": -78.64
}

***

{
  "formula": "SmUSeN2",
  "functional": "PBE",
  "state": "optimized geometry",
  "lattice": [[3.8581, 0.0000, 0.0000], [0.0000, 3.8581, 0.0000], [-1.9290, -1.9290, 6.1867]],
  "species": ["Sm", "U", "Se", "N", "N"],
  "fractional_positions": [[0.8499, 0.8499, 0.6998], [0.1625, 0.1625, 0.3251], [0.5049, 0.5049, 0.0098], [0.7413, 0.2413, 0.4827], [0.2413, 0.7413, 0.4827]],
  "vol_a3_per_atom": 18.42,
  "final_energy_ev_per_cell": -43.90
}

***

{
  "formula": "Sm2ZrSe2N2",
  "functional": "PBE",
  "state": "optimized geometry",
  "lattice": [[4.2594, 0.0000, 0.0000], [0.0000, 4.2594, 0.0000], [-2.1297, -2.1297, 7.5307]],
  "species": ["Sm", "Sm", "Zr", "Se", "Se", "N", "N"],
  "fractional_positions": [[0.3881, 0.3881, 0.7763], [0.6119, 0.6119, 0.2237], [0.0000, 0.0000, 0.0000], [0.1822, 0.1822, 0.3644], [0.8178, 0.8178, 0.6356], [0.0000, 0.5000, 0.0000], [0.5000, 0.0000, 0.0000]],
  "vol_a3_per_atom": 19.52,
  "final_energy_ev_per_cell": -52.92
}

***

{
  "formula": "Sn2SeN2",
  "functional": "PBE",
  "state": "optimized geometry",
  "lattice": [[3.6481, 0.0000, 0.0000], [1.8241, 3.1593, 0.0000], [0.0000, 0.0000, 7.1301]],
  "species": ["Sn", "Sn", "Se", "N", "N"],
  "fractional_positions": [[0.6667, 0.6667, 0.2990], [0.3333, 0.3333, 0.7010], [0.0000, 0.0000, 0.0000], [0.6667, 0.6667, 0.6268], [0.3333, 0.3333, 0.3732]],
  "vol_a3_per_atom": 16.44,
  "final_energy_ev_per_cell": -26.74
}

***

{
  "formula": "Sn3SeN",
  "functional": "PBE",
  "state": "optimized geometry",
  "lattice": [[4.8980, 0.0000, 0.0000], [0.0000, 4.8980, 0.0000], [0.0000, 0.0000, 4.8980]],
  "species": ["Sn", "Sn", "Sn", "Se", "N"],
  "fractional_positions": [[0.0000, 0.5000, 0.0000], [0.0000, 0.0000, 0.5000], [0.5000, 0.0000, 0.0000], [0.5000, 0.5000, 0.5000], [0.0000, 0.0000, 0.0000]],
  "de_polymorph_ev_per_atom": 0.000,
  "vol_a3_per_atom": 23.50,
  "final_energy_ev_per_cell": -21.79
}

***

{
  "formula": "SnSe2N2",
  "functional": "PBE",
  "state": "optimized geometry",
  "lattice": [[3.9581, 0.0000, 0.0000], [0.0000, 3.9581, 0.0000], [0.0000, 0.0000, 7.1609]],
  "species": ["Sn", "Se", "Se", "N", "N"],
  "fractional_positions": [[0.0000, 0.0000, 0.0000], [0.5000, 0.5000, 0.5000], [0.0000, 0.0000, 0.5000], [0.0000, 0.5000, 0.0000], [0.5000, 0.0000, 0.0000]],
  "de_polymorph_ev_per_atom": 1.591,
  "vol_a3_per_atom": 22.44,
  "final_energy_ev_per_cell": -20.70
}

***

{
  "formula": "SnSeN",
  "functional": "PBE",
  "state": "optimized geometry",
  "lattice": [[-1.5664, 3.9902, 0.5363], [-7.3714, -3.2985, 3.0121], [4.4077, 0.4441, 9.5700]],
  "species": ["Sn", "Sn", "Sn", "Sn", "Se", "Se", "Se", "Se", "N", "N", "N", "N"],
  "fractional_positions": [[0.7497, 0.3837, 0.6297], [0.2497, 0.1163, 0.3703], [0.2503, 0.6163, 0.3703], [0.7503, 0.8837, 0.6297], [0.7501, 0.3660, 0.3713], [0.2501, 0.1340, 0.6287], [0.2499, 0.6340, 0.6287], [0.7499, 0.8660, 0.3713], [0.4130, 0.0442, 0.0169], [0.9130, 0.4558, 0.9831], [0.5870, 0.9558, 0.9831], [0.0870, 0.5442, 0.0169]],
  "de_polymorph_ev_per_atom": 0.000,
  "vol_a3_per_atom": 32.67,
  "final_energy_ev_per_cell": -66.42
}

***

{
  "formula": "SnSe2N2",
  "functional": "PBE",
  "state": "optimized geometry",
  "lattice": [[4.0202, 0.0000, 0.0000], [0.0000, 4.0202, 0.0000], [0.0000, 0.0000, 5.3156]],
  "species": ["Sn", "Se", "Se", "N", "N"],
  "fractional_positions": [[0.5000, 0.5000, 0.5000], [0.0000, 0.0000, 0.0000], [0.0000, 0.0000, 0.5000], [0.0000, 0.5000, 0.0000], [0.5000, 0.0000, 0.0000]],
  "de_polymorph_ev_per_atom": 1.546,
  "vol_a3_per_atom": 17.18,
  "final_energy_ev_per_cell": -20.93
}

***

{
  "formula": "SnSe2N2",
  "functional": "PBE",
  "state": "optimized geometry",
  "lattice": [[-2.2290, -1.2771, -2.8943], [-1.2376, -0.2740, 3.6612], [-5.2120, 10.0274, -0.4107]],
  "species": ["Sn", "Se", "Se", "N", "N"],
  "fractional_positions": [[0.0000, 0.0000, 0.0000], [0.6529, 0.3058, 0.1412], [0.3471, 0.6942, 0.8588], [0.9513, 0.9026, 0.4618], [0.0487, 0.0974, 0.5382]],
  "de_polymorph_ev_per_atom": 0.000,
  "vol_a3_per_atom": 29.33,
  "final_energy_ev_per_cell": -28.66
}

***

{
  "formula": "SnSe2N2",
  "functional": "PBE",
  "state": "optimized geometry",
  "lattice": [[4.2737, 0.0000, 0.0000], [0.0000, 4.2737, 0.0000], [0.0000, 0.0000, 4.3138]],
  "species": ["Sn", "Se", "Se", "N", "N"],
  "fractional_positions": [[0.5000, 0.5000, 0.5000], [0.0000, 0.5000, 0.0000], [0.5000, 0.0000, 0.0000], [0.0000, 0.0000, 0.0000], [0.0000, 0.0000, 0.5000]],
  "de_polymorph_ev_per_atom": 1.653,
  "vol_a3_per_atom": 15.76,
  "final_energy_ev_per_cell": -20.39
}

***

{
  "formula": "SnSe2N2",
  "functional": "PBE",
  "state": "optimized geometry",
  "lattice": [[5.4353, 0.0000, 0.0000], [0.0000, 5.4353, 0.0000], [0.0000, 0.0000, 4.1341]],
  "species": ["Sn", "Se", "Se", "N", "N"],
  "fractional_positions": [[0.0000, 0.0000, 0.0000], [0.0000, 0.5000, 0.0000], [0.5000, 0.0000, 0.0000], [0.5000, 0.5000, 0.5000], [0.0000, 0.0000, 0.5000]],
  "de_polymorph_ev_per_atom": 2.123,
  "vol_a3_per_atom": 24.43,
  "final_energy_ev_per_cell": -18.04
}

***

{
  "formula": "SnSeN",
  "functional": "PBE",
  "state": "optimized geometry",
  "lattice": [[-2.0689, 0.6920, 5.3600], [3.1659, -1.6410, 4.5578], [3.1330, 5.7972, 3.5848]],
  "species": ["Sn", "Sn", "Sn", "Se", "Se", "Se", "N", "N", "N"],
  "fractional_positions": [[0.1903, 0.1903, 0.4291], [0.3331, 0.3331, 0.0008], [0.5998, 0.5998, 0.2007], [0.8246, 0.4324, 0.7541], [0.9889, 0.8246, 0.7541], [0.4324, 0.9889, 0.7541], [0.5308, 0.9700, 0.2202], [0.9700, 0.2790, 0.2202], [0.2790, 0.5308, 0.2202]],
  "de_polymorph_ev_per_atom": 0.789,
  "vol_a3_per_atom": 21.64,
  "final_energy_ev_per_cell": -42.71
}

***

{
  "formula": "Sn3SeN",
  "functional": "PBE",
  "state": "optimized geometry",
  "lattice": [[5.5117, 0.0000, 0.0000], [0.0000, 5.5117, 0.0000], [0.0000, 0.0000, 5.5117]],
  "species": ["Sn", "Sn", "Sn", "Se", "N"],
  "fractional_positions": [[0.0000, 0.5000, 0.0000], [0.0000, 0.0000, 0.5000], [0.5000, 0.0000, 0.0000], [0.0000, 0.0000, 0.0000], [0.5000, 0.5000, 0.5000]],
  "de_polymorph_ev_per_atom": 1.092,
  "vol_a3_per_atom": 33.49,
  "final_energy_ev_per_cell": -16.33
}

***

{
  "formula": "TaSnSe2N",
  "functional": "PBE",
  "state": "optimized geometry",
  "lattice": [[5.2786, 0.0000, 0.0000], [0.0000, 5.2786, 0.0000], [0.0000, 0.0000, 3.8711]],
  "species": ["N", "Sn", "Se", "Se", "Ta"],
  "fractional_positions": [[0.0000, 0.0000, 0.5000], [0.0000, 0.0000, 0.0000], [0.0000, 0.5000, 0.0000], [0.5000, 0.0000, 0.0000], [0.5000, 0.5000, 0.5000]],
  "de_polymorph_ev_per_atom": 1.398,
  "vol_a3_per_atom": 21.57,
  "final_energy_ev_per_cell": -25.36
}

***

{
  "formula": "TaSnSe2N",
  "functional": "PBE",
  "state": "optimized geometry",
  "lattice": [[-0.0423, 5.0714, 1.3116], [-2.1398, 1.1805, -4.6334], [-3.5848, -0.4298, 1.5461]],
  "species": ["N", "Sn", "Se", "Se", "Ta"],
  "fractional_positions": [[0.0000, 0.0000, 0.5000], [0.5000, 0.5000, 0.5000], [0.0000, 0.5000, 0.0000], [0.5000, 0.0000, 0.0000], [0.0000, 0.0000, 0.0000]],
  "de_polymorph_ev_per_atom": 0.000,
  "vol_a3_per_atom": 21.56,
  "final_energy_ev_per_cell": -32.35
}

***

{
  "formula": "TcSnSe2N",
  "functional": "PBE",
  "state": "optimized geometry",
  "lattice": [[5.3644, 0.0000, 0.0000], [0.0000, 5.3644, 0.0000], [0.0000, 0.0000, 3.9732]],
  "species": ["N", "Sn", "Se", "Se", "Tc"],
  "fractional_positions": [[0.0000, 0.0000, 0.5000], [0.0000, 0.0000, 0.0000], [0.0000, 0.5000, 0.0000], [0.5000, 0.0000, 0.0000], [0.5000, 0.5000, 0.5000]],
  "de_polymorph_ev_per_atom": 1.164,
  "vol_a3_per_atom": 22.87,
  "final_energy_ev_per_cell": -23.37
}

***

{
  "formula": "TcSnSe2N",
  "functional": "PBE",
  "state": "optimized geometry",
  "lattice": [[-5.0361, 0.8263, 0.8400], [-1.1758, -3.2820, -3.8205], [-0.0559, -2.8279, 2.4465]],
  "species": ["N", "Sn", "Se", "Se", "Tc"],
  "fractional_positions": [[0.0000, 0.0000, 0.5000], [0.5000, 0.5000, 0.5000], [0.0000, 0.5000, 0.0000], [0.5000, 0.0000, 0.0000], [0.0000, 0.0000, 0.0000]],
  "de_polymorph_ev_per_atom": 0.000,
  "vol_a3_per_atom": 20.01,
  "final_energy_ev_per_cell": -29.19
}

***

{
  "formula": "TiSnSe2N",
  "functional": "PBE",
  "state": "optimized geometry",
  "lattice": [[5.2095, 0.0000, 0.0000], [0.0000, 5.2095, 0.0000], [0.0000, 0.0000, 3.7814]],
  "species": ["N", "Sn", "Se", "Se", "Ti"],
  "fractional_positions": [[0.0000, 0.0000, 0.5000], [0.5000, 0.5000, 0.5000], [0.0000, 0.5000, 0.0000], [0.5000, 0.0000, 0.0000], [0.0000, 0.0000, 0.0000]],
  "de_polymorph_ev_per_atom": 0.000,
  "vol_a3_per_atom": 20.52,
  "final_energy_ev_per_cell": -28.68
}

***

{
  "formula": "TiSnSe2N",
  "functional": "PBE",
  "state": "optimized geometry",
  "lattice": [[-4.4103, 0.1582, 3.0134], [-1.4103, -4.8258, -1.8108], [1.9632, -1.6851, 2.9618]],
  "species": ["N", "Sn", "Se", "Se", "Ti"],
  "fractional_positions": [[0.0000, 0.0000, 0.5000], [0.0000, 0.0000, 0.0000], [0.0000, 0.5000, 0.0000], [0.5000, 0.0000, 0.0000], [0.5000, 0.5000, 0.5000]],
  "de_polymorph_ev_per_atom": 0.952,
  "vol_a3_per_atom": 22.46,
  "final_energy_ev_per_cell": -23.92
}

***

{
  "formula": "TlSnSeN2",
  "functional": "PBE",
  "state": "optimized geometry",
  "lattice": [[4.4293, 0.0000, 0.0000], [0.0000, 4.4293, 0.0000], [0.0000, 0.0000, 5.8026]],
  "species": ["Tl", "Sn", "Se", "N", "N"],
  "fractional_positions": [[0.0000, 0.0000, 0.0000], [0.5000, 0.5000, 0.5000], [0.0000, 0.0000, 0.5000], [0.0000, 0.5000, 0.0000], [0.5000, 0.0000, 0.0000]],
  "de_polymorph_ev_per_atom": 0.477,
  "vol_a3_per_atom": 22.77,
  "final_energy_ev_per_cell": -18.91
}

***

{
  "formula": "TlSnSeN2",
  "functional": "PBE",
  "state": "optimized geometry",
  "lattice": [[4.2353, 0.0000, 0.0000], [0.0000, 5.7350, 0.0000], [0.0000, 0.0000, 4.2353]],
  "species": ["Tl", "Sn", "Se", "N", "N"],
  "fractional_positions": [[0.5000, 0.5000, 0.5000], [0.0000, 0.0000, 0.0000], [0.0000, 0.5000, 0.0000], [0.0000, 0.0000, 0.5000], [0.5000, 0.0000, 0.0000]],
  "de_polymorph_ev_per_atom": 0.000,
  "vol_a3_per_atom": 20.57,
  "final_energy_ev_per_cell": -21.30
}